Compound: SmHo5Mg
Source: Alexandria
Functional: PBE
Structure: optimized geometry

Unit cell a=10.832 b=6.481 c=7.056 alpha=117.34 beta=140.14 gamma=90.00
Fractional coordinates of all 7 atoms:
Mg 0.831 0.500 0.000
Sm 0.729 0.000 0.000
Ho 0.834 0.759 0.519
Ho 0.358 0.236 0.000
Ho 0.107 0.500 0.000
Ho 0.358 0.764 0.000
Ho 0.315 0.241 0.481

Summary:
As for the space group: Imm2 (44). The formation energy is 1.6 eV per formula unit. For the density, the calculation gives 7.492 g/cm3. The calculated total energy is -27.61 eV per formula unit. As for the calculated volume: 221 Å³ per cell.



Compound: RuSeBr2F
Source: Alexandria
Functional: PBE
Structure: optimized geometry

Unit cell a=5.541 b=5.541 c=3.874 alpha=90.00 beta=90.00 gamma=90.00
Site moments in Bohr magnetons follow the coordinates.
Fractional coordinates of all 5 atoms:
Ru 0.500 0.500 0.500  2.99
Br 0.000 0.500 0.000  0.21
Br 0.500 0.000 0.000  0.21
F 0.000 0.000 0.000  0.05
Se 0.000 0.000 0.500  0.60

Summary:
As for the space group: P4/mmm (123). The value obtained for the formation energy without anion corrections is 0.7421 eV per atom. For the density, the calculation gives 5.009 g/cm3. The calculated total energy is -14.27 eV per formula unit. Its energy above the most stable polymorph in this dataset is 13.66 kcal/mol of atoms. As for the calculated volume: 119 Å³ per cell.



Compound: LiUBi
Source: Alexandria
Functional: PBE
Structure: optimized geometry

Unit cell a=5.941 b=5.960 c=8.434 alpha=102.53 beta=90.00 gamma=90.00
Site moments in Bohr magnetons follow the coordinates.
Fractional coordinates of all 12 atoms:
Li 0.248 0.492 0.455  0.00
Li 0.748 0.008 0.545  0.00
Li 0.752 0.508 0.545  0.00
Li 0.252 0.992 0.455  0.00
Bi 0.903 0.170 0.260  -0.04
Bi 0.097 0.830 0.740  -0.04
Bi 0.403 0.330 0.740  -0.04
Bi 0.597 0.670 0.260  -0.04
U 0.366 0.135 0.074  1.11
U 0.634 0.865 0.926  1.11
U 0.134 0.635 0.074  1.11
U 0.866 0.365 0.926  1.11

Summary:
As for the space group: P2_1/c (14). The formation energy is -0.2 eV per formula unit. For the density, the calculation gives 10.341 g/cm3. The calculated total energy is -17.24 eV per formula unit. As for the calculated volume: 292 Å³ per cell.



Compound: BaLi2AgSn
Source: Alexandria
Functional: PBE
Structure: optimized geometry

Unit cell a=5.211 b=5.211 c=5.280 alpha=90.00 beta=90.00 gamma=90.00
Site moments in Bohr magnetons follow the coordinates.
Fractional coordinates of all 5 atoms:
Li 0.500 0.000 0.000  0.02
Li 0.000 0.500 0.000  0.02
Ag 0.000 0.000 0.000  0.01
Sn 0.000 0.000 0.500  0.02
Ba 0.500 0.500 0.500  0.07

Summary:
As for the space group: P4/mmm (123). The formation energy is -1.0 eV per formula unit. For the density, the calculation gives 4.375 g/cm3. The calculated total energy is -13.58 eV per formula unit. As for the calculated volume: 143 Å³ per cell.



Compound: MgReP2S
Source: Alexandria
Functional: PBE
Structure: optimized geometry

Unit cell a=4.463 b=4.463 c=5.489 alpha=90.00 beta=90.00 gamma=90.00
Site moments in Bohr magnetons follow the coordinates.
Fractional coordinates of all 5 atoms:
Mg 0.500 0.500 0.500  0.00
P 0.000 0.500 0.000  -0.01
P 0.500 0.000 0.000  -0.01
S 0.000 0.000 0.500  0.00
Re 0.000 0.000 0.000  0.15

Summary:
As for the space group: P4/mmm (123). The value obtained for the formation energy without anion corrections is 0.3162 eV per atom. For the density, the calculation gives 4.626 g/cm3. The calculated total energy is -27.41 eV per formula unit. Its energy above the most stable polymorph in this dataset is 0.00 kcal/mol of atoms. As for the calculated volume: 109 Å³ per cell.



Compound: CaZr2B
Source: Alexandria
Functional: PBE
Structure: optimized geometry

Unit cell a=7.765 b=7.765 c=6.213 alpha=51.33 beta=51.33 gamma=90.00
Fractional coordinates of all 8 atoms:
Zr 0.526 0.125 0.250
Zr 0.875 0.776 0.750
Zr 0.224 0.625 0.250
Zr 0.375 0.474 0.750
Ca 0.750 0.250 0.500
Ca 0.000 0.000 0.000
B 0.500 0.500 0.000
B 0.250 0.750 0.500

Summary:
As for the space group: I-42d (122). The formation energy is 1.3 eV per formula unit. For the density, the calculation gives 4.419 g/cm3. The calculated total energy is -24.49 eV per formula unit. As for the calculated volume: 175 Å³ per cell.



Compound: Ca2Pm4Sm
Source: Alexandria
Functional: PBE
Structure: optimized geometry

Unit cell a=5.732 b=5.732 c=9.851 alpha=106.91 beta=106.91 gamma=90.00
Site moments in Bohr magnetons follow the coordinates.
Fractional coordinates of all 7 atoms:
Sm 0.000 0.000 0.000  0.29
Pm 0.173 0.173 0.345  0.08
Pm 0.500 0.000 0.000  0.14
Pm 0.000 0.500 0.000  0.14
Pm 0.827 0.827 0.655  0.08
Ca 0.373 0.373 0.746  0.01
Ca 0.627 0.627 0.254  0.01

Summary:
As for the space group: I4/mmm (139). The formation energy is 4.1 eV per formula unit. For the density, the calculation gives 4.562 g/cm3. The calculated total energy is -23.63 eV per formula unit. Its energy above the most stable polymorph in this dataset is 10.66 kcal/mol of atoms. As for the calculated volume: 295 Å³ per cell.



Compound: NaTl2InHg5
Source: Alexandria
Functional: PBE
Structure: optimized geometry

Unit cell a=3.738 b=9.015 c=15.411 alpha=90.00 beta=90.00 gamma=101.97
Fractional coordinates of all 18 atoms:
Tl 0.804 0.608 0.175
Tl 0.892 0.785 0.827
Tl 0.196 0.392 0.675
Tl 0.108 0.215 0.327
Hg 0.626 0.252 0.154
Hg 0.988 0.977 0.097
Hg 0.012 0.023 0.597
Hg 0.631 0.263 0.502
Hg 0.711 0.422 0.850
Hg 0.369 0.737 0.002
Hg 0.374 0.748 0.654
Hg 0.289 0.578 0.350
Hg 0.547 0.094 0.754
Hg 0.453 0.906 0.254
Na 0.547 0.093 0.949
Na 0.453 0.907 0.449
In 0.800 0.600 0.516
In 0.200 0.400 0.016

Summary:
As for the space group: Cmc2_1 (36). The formation energy is -0.4 eV per formula unit. For the density, the calculation gives 10.129 g/cm3. The calculated total energy is -10.73 eV per formula unit. As for the calculated volume: 508 Å³ per cell.